[1]
Here is crystalline LaPa2RuN4 at its relaxed geometry from Alexandria via LeMat-Bulk. Energies are from PBE.

Cell: 6.208 6.208 11.782 Å, 90.00 90.00 147.74°
Fractional positions:
La  0.103  0.897  0.750
La  0.897  0.103  0.250
Pa  0.369  0.631  0.558
Pa  0.369  0.631  0.942
Pa  0.631  0.369  0.058
Pa  0.631  0.369  0.442
Ru  0.157  0.843  0.250
Ru  0.843  0.157  0.750
N  0.000  0.000  0.000
N  0.000  0.000  0.500
N  0.271  0.729  0.107
N  0.271  0.729  0.393
N  0.450  0.550  0.750
N  0.550  0.450  0.250
N  0.729  0.271  0.607
N  0.729  0.271  0.893

Properties
**Uncorrected formation energy**: -1284 meV per atom
**DOS(E_F)**: 5.0 states/eV/cell
**Spin magnetization**: 0.000 μB/f.u.



[2]
Here is crystalline La2PaSbN5 at its relaxed geometry from Alexandria via LeMat-Bulk. Energies are from PBE.

Cell: 7.527 7.527 10.900 Å, 90.00 90.00 152.00°
Fractional positions:
La  0.115  0.885  0.500
La  0.134  0.866  0.087
La  0.866  0.134  0.587
La  0.885  0.115  0.000
Pa  0.217  0.783  0.804
Pa  0.783  0.217  0.304
Sb  0.487  0.513  0.273
Sb  0.513  0.487  0.773
N  0.054  0.946  0.851
N  0.279  0.721  0.437
N  0.296  0.704  0.175
N  0.370  0.630  0.806
N  0.497  0.503  0.586
N  0.503  0.497  0.086
N  0.630  0.370  0.306
N  0.704  0.296  0.675
N  0.721  0.279  0.937
N  0.946  0.054  0.351

Properties
**Uncorrected formation energy**: -947 meV per atom
**DOS(E_F)**: 2.3 states/eV/cell
**Spin magnetization**: 0.000 μB/f.u.



[3]
Here is crystalline La3ScPa2N6 at its relaxed geometry from Alexandria via LeMat-Bulk. Energies are from PBE.

Cell: 6.099 6.099 6.312 Å, 99.23 99.23 120.03°
Fractional positions:
La  0.000  0.000  0.000
La  0.335  0.665  0.000
La  0.665  0.335  0.000
Sc  0.500  0.500  0.500
Pa  0.167  0.833  0.500
Pa  0.833  0.167  0.500
N  0.097  0.432  0.297
N  0.233  0.233  0.705
N  0.432  0.097  0.297
N  0.568  0.903  0.703
N  0.767  0.767  0.295
N  0.903  0.568  0.703

Properties
**Uncorrected formation energy**: -1571 meV per atom
**DOS(E_F)**: 5.7 states/eV/cell
**Spin magnetization**: 0.000 μB/f.u.



[4]
Here is crystalline La2PaSe2N2 at its relaxed geometry from Alexandria via LeMat-Bulk. Energies are from PBE.

Cell: 8.535 8.535 8.535 Å, 150.10 150.10 42.80°
Fractional positions:
La  0.125  0.125  0.000
La  0.875  0.875  0.000
Pa  0.500  0.500  0.000
Se  0.319  0.319  0.000
Se  0.681  0.681  0.000
N  0.000  0.500  0.500
N  0.500  0.000  0.500

Properties
**Uncorrected formation energy**: -1698 meV per atom
**DOS(E_F)**: 5.4 states/eV/cell
**Spin magnetization**: 0.001 μB/f.u.